HfMnV PBE-GGA relaxed; DOS at the Fermi energy = 3.2 states/eV per cell; space-group type = No. 107; offset from the most stable computed form = 0.165 eV per atom; ΔH_f (0 K) = -70 meV/atom; spin magnetization = 0.00 μB per formula unit
1.0
-0.704 -2.177 -2.007
1.405 -2.062 1.743
-4.515 1.283 2.500
Mn Hf V
1 1 1
direct
0.682 0.682 0.364
0.005 0.005 0.011
0.313 0.313 0.625